## MnNiO2F (PBE with a Hubbard U)

Data for crystalline MnNiO2F at its relaxed geometry.

Values from the calculation:
- magnetization (μB per cell) = 6.00
- DFT total energy (eV/f.u.) = -27.15
- D(E_F) (states/eV/cell) = 1.1

Cell: 3.787 3.787 3.835 Å, 90.00 90.00 90.00°
Sites, in units of the cell vectors:
Mn (0.000, 0.000, 0.000)
Ni (0.500, 0.500, 0.500)
O (0.000, 0.500, 0.500)
O (0.500, 0.000, 0.500)
F (0.500, 0.500, 0.000)